# BaTi2Mn GGA-PBE optimized geometry
# Polymorph energy (0 for the lowest one) = 0.187 eV per atom
# E_tot = -91.50 eV for the cell shown
# Density = 6.3 g/cm³
data_BaTi2Mn
_chemical_formula_sum 'Ba4 Ti8 Mn4'
_cell_length_a 6.736
_cell_length_b 6.736
_cell_length_c 6.736
_cell_angle_alpha 90.00
_cell_angle_beta 90.00
_cell_angle_gamma 90.00
_symmetry_space_group_name_H-M 'F m -3 m'
_symmetry_Int_Tables_number 225
_symmetry_space_group_name_Hall '-F 4 2 3'
loop_
_atom_site_label
_atom_site_fract_x
_atom_site_fract_y
_atom_site_fract_z
Ba1 0.000 0.000 0.000
Ti1 0.250 0.250 0.250
Mn1 0.000 0.000 0.500